Density functional theory data (PBE) for crystalline KZrSi2 at its relaxed geometry.

a = 5.370 Å, b = 5.370 Å, c = 2.895 Å
α = 90.00°, β = 90.00°, γ = 90.00°
Positions (direct):
K 0.000 0.000 0.000
Zr 0.500 0.500 0.000
Si 0.000 0.500 0.500
Si 0.500 0.000 0.500

Energy above the lowest structure with this stoichiometry, kJ per mole of atoms: 45.0
M_tot, μB/f.u.: 0.00
ΔE_f (raw), meV per atom: 269
E_tot, eV per atom: -4.85